PBE with a Hubbard U CdCoNO2, relaxed; total DFT energy (no corrections) = -3.44 eV per atom
1.0
-2.870 2.705 -1.249
-1.034 -2.531 -3.104
-2.808 -1.850 2.444
N O Cd Co
1 2 1 1
Direct
0.000 0.000 0.500
0.000 0.500 0.000
0.500 0.000 0.000
0.000 0.000 0.000
0.500 0.500 0.500